Entry 1:
Density functional theory data (PBE) for a relaxed LaTm2Sc6 crystal.

a b c (Å): 5.117 5.117 20.563
angles (deg): 90.00 90.00 90.00
Sites, in units of the cell vectors:
La: 0.500 0.500 0.000
La: 0.000 0.000 0.500
Tm: 0.500 0.500 0.240
Tm: 0.500 0.500 0.760
Tm: 0.000 0.000 0.260
Tm: 0.000 0.000 0.740
Sc: 0.777 0.777 0.118
Sc: 0.777 0.777 0.882
Sc: 0.666 0.666 0.500
Sc: 0.834 0.166 0.000
Sc: 0.723 0.277 0.382
Sc: 0.723 0.277 0.618
Sc: 0.277 0.723 0.382
Sc: 0.277 0.723 0.618
Sc: 0.166 0.834 0.000
Sc: 0.334 0.334 0.500
Sc: 0.223 0.223 0.118
Sc: 0.223 0.223 0.882

SG: No. 136
ΔE_f, eV/f.u.: 6.40

Entry 2:
Density functional theory data (PBE) for a relaxed LiErNiSn crystal.

a b c (Å): 4.609 4.609 4.609
angles (deg): 60.00 60.00 60.00
Sites, in units of the cell vectors:
Ni: 0.000 0.000 0.000
Li: 0.500 0.500 0.500
Sn: 0.250 0.250 0.250
Er: 0.750 0.750 0.750

SG: No. 216
ΔE_f, eV/f.u.: -2.35

Entry 3:
Density functional theory data (PBE) for a relaxed TaBiS3 crystal.

a b c (Å): 4.807 4.807 4.807
angles (deg): 90.00 90.00 90.00
Sites, in units of the cell vectors:
S: 0.000 0.500 0.000
S: 0.000 0.000 0.500
S: 0.500 0.000 0.000
Bi: 0.500 0.500 0.500
Ta: 0.000 0.000 0.000

Formation energy from raw total energies, eV per atom: -0.279
SG: No. 221

no.,density of states at the Fermi level (states/eV/cell)
1,34.1
2,0.1
3,3.4